Entry 1:
Entry from Alexandria via LeMat-Bulk: an optimized crystal structure of LaCdCu (GGA-PBE).

Lattice parameters (Å, degrees): 7.128 7.128 7.128 90.00 90.00 90.00
Space group F-43m (No. 216)
Asymmetric unit:
La 0.000 0.000 0.000 (multiplicity 4)
Cd 0.250 0.250 0.750 (multiplicity 4)
Cu 0.250 0.250 0.250 (multiplicity 4)

Summary:
* calculated formation energy: 0.30 eV/atom
* density of states at the Fermi level: 1.048 states/eV/atom
* spin magnetization: 0.00 μB/cell

=====

Entry 2:
Entry from Alexandria via LeMat-Bulk: an optimized crystal structure of YTmZr (GGA-PBE).

Lattice parameters (Å, degrees): 3.399 3.399 14.609 90.00 90.00 90.00
Space group I4mm (No. 107)
Asymmetric unit:
Y 0.000 0.000 0.000 (multiplicity 2)
Tm 0.000 0.000 0.688 (multiplicity 2)
Zr 0.000 0.000 0.341 (multiplicity 2)

Summary:
* energy above the lowest structure with this stoichiometry: 31.0 meV/atom
* calculated formation energy: 0.07 eV/atom
* density of states at the Fermi level: 1.501 states/eV/atom
* spin magnetization: 0.00 μB/cell

=====

Entry 3:
Entry from Alexandria via LeMat-Bulk: an optimized crystal structure of Nb3SnBr (GGA-PBE).

Lattice parameters (Å, degrees): 4.762 4.762 4.762 90.00 90.00 90.00
Space group Pm-3m (No. 221)
Asymmetric unit:
Nb 0.000 0.000 0.500 (multiplicity 3)
Sn 0.500 0.500 0.500 (multiplicity 1)
Br 0.000 0.000 0.000 (multiplicity 1)

Summary:
* energy above the lowest structure with this stoichiometry: 0.0 meV/atom
* density of states at the Fermi level: 0.679 states/eV/atom
* raw formation energy: 0.8999 eV/atom
* spin magnetization: 0.00 μB/cell

=====

Entry 4:
Entry from Alexandria via LeMat-Bulk: an optimized crystal structure of Ce3CBr3 (GGA-PBE).

Lattice parameters (Å, degrees): 8.497 3.856 11.521 90.00 93.25 90.00
Space group P2_1/m (No. 11)
Asymmetric unit:
Ce 0.090 0.250 0.393 (multiplicity 2)
Ce 0.118 0.250 0.833 (multiplicity 2)
Ce 0.315 0.750 0.618 (multiplicity 2)
C 0.121 0.250 0.619 (multiplicity 2)
Br 0.143 0.250 0.120 (multiplicity 2)
Br 0.382 0.750 0.363 (multiplicity 2)
Br 0.382 0.750 0.875 (multiplicity 2)

Summary:
* density of states at the Fermi level: 2.226 states/eV/atom
* raw formation energy: -1.1937 eV/atom
* spin magnetization: 5.34 μB/cell

=====

Entry 5:
Entry from Alexandria via LeMat-Bulk: an optimized crystal structure of Sc8Co2Sn (GGA-PBE).

Lattice parameters (Å, degrees): 8.145 12.343 4.821 90.00 103.48 90.00
Space group C2/m (No. 12)
Asymmetric unit:
Sc 0.000 0.249 0.000 (multiplicity 4)
Sc 0.110 0.000 0.800 (multiplicity 4)
Sc 0.200 0.369 0.574 (multiplicity 8)
Co 0.000 0.188 0.500 (multiplicity 4)
Sn 0.000 0.500 0.000 (multiplicity 2)

Summary:
* calculated formation energy: -0.26 eV/atom
* density of states at the Fermi level: 1.242 states/eV/atom
* spin magnetization: 2.53 μB/cell

=====

Entry 6:
Entry from Alexandria via LeMat-Bulk: an optimized crystal structure of Te3PF (GGA-PBE).

Lattice parameters (Å, degrees): 5.147 5.147 5.147 90.00 90.00 90.00
Space group Pm-3m (No. 221)
Asymmetric unit:
Te 0.000 0.000 0.500 (multiplicity 3)
P 0.000 0.000 0.000 (multiplicity 1)
F 0.500 0.500 0.500 (multiplicity 1)

Summary:
* energy above the lowest structure with this stoichiometry: 0.0 meV/atom
* density of states at the Fermi level: 1.164 states/eV/atom
* raw formation energy: 0.3214 eV/atom
* spin magnetization: 0.00 μB/cell